DFT (PBE) results for crystalline ScSnC3 at its relaxed geometry.

Calculated values
The density of states at the Fermi level comes out at 0.931 states/eV per atom. The energy relative to the elements comes out at 2.196 eV per atom. The calculation puts the total energy at -5.41 eV/atom.

Cell: 4.2266 4.2266 4.2266 Å, 90.00 90.00 90.00°
Space group Pm-3m (No. 221)
Asymmetric unit:
1 Sc 0.0000 0.0000 0.0000 (multiplicity 1)
2 Sn 0.5000 0.5000 0.5000 (multiplicity 1)
3 C 0.0000 0.5000 0.5000 (multiplicity 3)